(1)
# meta-GGA SCAN KY3Sc, single point on PBEsol structure
# Mass density in kg/m3: 3174
# Space-group type: No. 221
# ΔH_f (0 K) in eV per atom: 0.648
data_KY3Sc
_chemical_formula_sum 'K1 Y3 Sc1'
_cell_length_a 5.6824
_cell_length_b 5.6824
_cell_length_c 5.6824
_cell_angle_alpha 90.00
_cell_angle_beta 90.00
_cell_angle_gamma 90.00
_symmetry_space_group_name_H-M 'P 1'
_symmetry_Int_Tables_number 1
_symmetry_space_group_name_Hall 'P 1'
loop_
_atom_site_label
_atom_site_fract_x
_atom_site_fract_y
_atom_site_fract_z
_atom_site_occupancy
Y1 0.0000 0.5000 0.0000 1
Y2 0.0000 0.0000 0.5000 1
Y3 0.5000 0.0000 0.0000 1
Sc1 0.0000 0.0000 0.0000 1
K1 0.5000 0.5000 0.5000 1

---

(2)
# meta-GGA SCAN LaMoP, single point on PBEsol structure
# Mass density in kg/m3: 6825
# Offset from the most stable computed form in meV per atom: 449
# Space-group type: No. 216
# ΔH_f (0 K) in eV per atom: -0.013
data_LaMoP
_chemical_formula_sum 'La1 Mo1 P1'
_cell_length_a 4.5057
_cell_length_b 4.5057
_cell_length_c 4.5057
_cell_angle_alpha 60.00
_cell_angle_beta 60.00
_cell_angle_gamma 60.00
_symmetry_space_group_name_H-M 'P 1'
_symmetry_Int_Tables_number 1
_symmetry_space_group_name_Hall 'P 1'
loop_
_atom_site_label
_atom_site_fract_x
_atom_site_fract_y
_atom_site_fract_z
_atom_site_occupancy
La1 0.0000 0.0000 0.0000 1
Mo1 0.5000 0.5000 0.5000 1
P1 0.2500 0.2500 0.2500 1

---

(3)
# meta-GGA SCAN CaBePt2, single point on PBEsol structure
# Mass density in kg/m3: 11570
# Space-group type: No. 71
# ΔH_f (0 K) in eV per atom: -0.612
data_CaBePt2
_chemical_formula_sum 'Ca1 Be1 Pt2'
_cell_length_a 3.0022
_cell_length_b 4.9489
_cell_length_c 5.1362
_cell_angle_alpha 118.80
_cell_angle_beta 106.99
_cell_angle_gamma 90.00
_symmetry_space_group_name_H-M 'P 1'
_symmetry_Int_Tables_number 1
_symmetry_space_group_name_Hall 'P 1'
loop_
_atom_site_label
_atom_site_fract_x
_atom_site_fract_y
_atom_site_fract_z
_atom_site_occupancy
Be1 0.5000 0.0000 0.0000 1
Ca1 0.0000 0.5000 0.0000 1
Pt1 0.8044 0.8044 0.6088 1
Pt2 0.1956 0.1956 0.3912 1

---

(4)
# meta-GGA SCAN La2ZnTe, single point on PBEsol structure
# Mass density in kg/m3: 7166
# Space-group type: No. 123
# ΔE_f (raw) in eV/atom: -0.903
data_La2ZnTe
_chemical_formula_sum 'La2 Zn1 Te1'
_cell_length_a 3.9174
_cell_length_b 3.9174
_cell_length_c 7.1097
_cell_angle_alpha 90.00
_cell_angle_beta 90.00
_cell_angle_gamma 90.00
_symmetry_space_group_name_H-M 'P 1'
_symmetry_Int_Tables_number 1
_symmetry_space_group_name_Hall 'P 1'
loop_
_atom_site_label
_atom_site_fract_x
_atom_site_fract_y
_atom_site_fract_z
_atom_site_occupancy
La1 0.0000 0.0000 0.7445 1
La2 0.0000 0.0000 0.2555 1
Te1 0.5000 0.5000 0.0000 1
Zn1 0.5000 0.5000 0.5000 1

---

(5)
# meta-GGA SCAN RbLa3W, single point on PBEsol structure
# Mass density in kg/m3: 6119
# Space-group type: No. 221
# ΔH_f (0 K) in eV per atom: 0.540
data_RbLa3W
_chemical_formula_sum 'Rb1 La3 W1'
_cell_length_a 5.7100
_cell_length_b 5.7100
_cell_length_c 5.7100
_cell_angle_alpha 90.00
_cell_angle_beta 90.00
_cell_angle_gamma 90.00
_symmetry_space_group_name_H-M 'P 1'
_symmetry_Int_Tables_number 1
_symmetry_space_group_name_Hall 'P 1'
loop_
_atom_site_label
_atom_site_fract_x
_atom_site_fract_y
_atom_site_fract_z
_atom_site_occupancy
Rb1 0.5000 0.5000 0.5000 1
W1 0.0000 0.0000 0.0000 1
La1 0.0000 0.5000 0.0000 1
La2 0.0000 0.0000 0.5000 1
La3 0.5000 0.0000 0.0000 1

---

(6)
# meta-GGA SCAN TcAs2Se, single point on PBEsol structure
# Mass density in kg/m3: 7406
# Offset from the most stable computed form in meV per atom: 0
# Space-group type: No. 8
# ΔE_f (raw) in eV/atom: -0.039
data_TcAs2Se
_chemical_formula_sum 'Tc1 As2 Se1'
_cell_length_a 3.0751
_cell_length_b 4.6937
_cell_length_c 5.6463
_cell_angle_alpha 106.88
_cell_angle_beta 90.00
_cell_angle_gamma 109.12
_symmetry_space_group_name_H-M 'P 1'
_symmetry_Int_Tables_number 1
_symmetry_space_group_name_Hall 'P 1'
loop_
_atom_site_label
_atom_site_fract_x
_atom_site_fract_y
_atom_site_fract_z
_atom_site_occupancy
As1 0.9279 0.8558 0.8907 1
As2 0.7887 0.5773 0.2478 1
Tc1 0.2047 0.4094 0.8627 1
Se1 0.5788 0.1575 0.4989 1

---

(7)
# meta-GGA SCAN Li3MnVP3O12, single point on PBEsol structure
# Mass density in kg/m3: 3018
# Offset from the most stable computed form in meV per atom: 0
# Space-group type: No. 2
# ΔE_f (raw) in eV/atom: -2.537
data_Li3MnVP3O12
_chemical_formula_sum 'Li6 Mn2 V2 P6 O24'
_cell_length_a 8.2308
_cell_length_b 8.3504
_cell_length_c 8.9540
_cell_angle_alpha 116.46
_cell_angle_beta 90.18
_cell_angle_gamma 120.54
_symmetry_space_group_name_H-M 'P 1'
_symmetry_Int_Tables_number 1
_symmetry_space_group_name_Hall 'P 1'
loop_
_atom_site_label
_atom_site_fract_x
_atom_site_fract_y
_atom_site_fract_z
_atom_site_occupancy
P1 0.9548 0.2230 0.7527 1
P2 0.5368 0.4987 0.7495 1
P3 0.2539 0.8054 0.7579 1
P4 0.7461 0.1946 0.2421 1
P5 0.4632 0.5013 0.2505 1
P6 0.0452 0.7770 0.2473 1
V1 0.6529 0.3103 0.9610 1
V2 0.3471 0.6897 0.0390 1
Mn1 0.1340 0.2783 0.4316 1
Mn2 0.8660 0.7217 0.5684 1
O1 0.1709 0.3809 0.8796 1
O2 0.8680 0.0075 0.7442 1
O3 0.8307 0.3177 0.8192 1
O4 0.5098 0.3494 0.8208 1
O5 0.5474 0.7004 0.9015 1
O6 0.2184 0.7458 0.9023 1
O7 0.9575 0.2082 0.5760 1
O8 0.7387 0.5894 0.7153 1
O9 0.3663 0.3714 0.5885 1
O10 0.4766 0.9958 0.8177 1
O11 0.1264 0.8902 0.7530 1
O12 0.2039 0.6140 0.5819 1
O13 0.7961 0.3860 0.4181 1
O14 0.8736 0.1098 0.2470 1
O15 0.5234 0.0042 0.1823 1
O16 0.6337 0.6286 0.4115 1
O17 0.2613 0.4106 0.2847 1
O18 0.0425 0.7918 0.4240 1
O19 0.7816 0.2542 0.0977 1
O20 0.4526 0.2996 0.0985 1
O21 0.4902 0.6506 0.1792 1
O22 0.1693 0.6823 0.1808 1
O23 0.1320 0.9925 0.2558 1
O24 0.8291 0.6191 0.1204 1
Li1 0.2578 0.1985 0.8720 1
Li2 0.6830 0.9542 0.8718 1
Li3 0.8293 0.3917 0.6334 1
Li4 0.1707 0.6083 0.3666 1
Li5 0.3170 0.0458 0.1282 1
Li6 0.7422 0.8015 0.1280 1

---

(8)
# meta-GGA SCAN CaCo5, single point on PBEsol structure
# Mass density in kg/m3: 7003
# Space-group type: No. 8
# ΔH_f (0 K) in eV per atom: 0.349
data_CaCo5
_chemical_formula_sum 'Ca1 Co5'
_cell_length_a 2.6014
_cell_length_b 5.4974
_cell_length_c 5.7431
_cell_angle_alpha 95.75
_cell_angle_beta 90.00
_cell_angle_gamma 103.69
_symmetry_space_group_name_H-M 'P 1'
_symmetry_Int_Tables_number 1
_symmetry_space_group_name_Hall 'P 1'
loop_
_atom_site_label
_atom_site_fract_x
_atom_site_fract_y
_atom_site_fract_z
_atom_site_occupancy
Ca1 0.0461 0.0922 0.9978 1
Co1 0.6807 0.3614 0.4923 1
Co2 0.3515 0.7030 0.6654 1
Co3 0.3224 0.6449 0.2642 1
Co4 0.9925 0.9849 0.4723 1
Co5 0.7735 0.5470 0.9414 1

---

(9)
# meta-GGA SCAN CaMg2Hg, single point on PBEsol structure
# Mass density in kg/m3: 4818
# Space-group type: No. 71
# ΔH_f (0 K) in eV per atom: -0.312
data_CaMg2Hg
_chemical_formula_sum 'Ca1 Mg2 Hg1'
_cell_length_a 3.6611
_cell_length_b 5.2163
_cell_length_c 6.1160
_cell_angle_alpha 115.24
_cell_angle_beta 107.42
_cell_angle_gamma 90.00
_symmetry_space_group_name_H-M 'P 1'
_symmetry_Int_Tables_number 1
_symmetry_space_group_name_Hall 'P 1'
loop_
_atom_site_label
_atom_site_fract_x
_atom_site_fract_y
_atom_site_fract_z
_atom_site_occupancy
Mg1 0.7814 0.7814 0.5628 1
Mg2 0.2186 0.2186 0.4372 1
Ca1 0.0000 0.5000 0.0000 1
Hg1 0.5000 0.0000 0.0000 1

---

(10)
# meta-GGA SCAN Na3MnZn, single point on PBEsol structure
# Mass density in kg/m3: 1717
# Space-group type: No. 221
# ΔH_f (0 K) in eV per atom: 0.754
data_Na3MnZn
_chemical_formula_sum 'Na3 Mn1 Zn1'
_cell_length_a 5.6778
_cell_length_b 5.6778
_cell_length_c 5.6778
_cell_angle_alpha 90.00
_cell_angle_beta 90.00
_cell_angle_gamma 90.00
_symmetry_space_group_name_H-M 'P 1'
_symmetry_Int_Tables_number 1
_symmetry_space_group_name_Hall 'P 1'
loop_
_atom_site_label
_atom_site_fract_x
_atom_site_fract_y
_atom_site_fract_z
_atom_site_occupancy
Na1 0.0000 0.5000 0.0000 1
Na2 0.0000 0.0000 0.5000 1
Na3 0.5000 0.0000 0.0000 1
Zn1 0.5000 0.5000 0.5000 1
Mn1 0.0000 0.0000 0.0000 1

---

(11)
# meta-GGA SCAN LiInNi, single point on PBEsol structure
# Mass density in kg/m3: 7019
# Space-group type: No. 107
# ΔH_f (0 K) in eV per atom: -0.120
data_LiInNi
_chemical_formula_sum 'Li1 In1 Ni1'
_cell_length_a 3.1655
_cell_length_b 3.1655
_cell_length_c 4.8128
_cell_angle_alpha 109.20
_cell_angle_beta 109.20
_cell_angle_gamma 90.00
_symmetry_space_group_name_H-M 'P 1'
_symmetry_Int_Tables_number 1
_symmetry_space_group_name_Hall 'P 1'
loop_
_atom_site_label
_atom_site_fract_x
_atom_site_fract_y
_atom_site_fract_z
_atom_site_occupancy
Ni1 0.6747 0.6747 0.3493 1
Li1 0.3198 0.3198 0.6396 1
In1 0.0055 0.0055 0.0111 1

---

(12)
# meta-GGA SCAN H8PtO6, single point on PBEsol structure
# Mass density in kg/m3: 4749
# Space-group type: No. 9
# Total energy in eV/atom: -9.956
data_H8PtO6
_chemical_formula_sum 'H16 Pt2 O12'
_cell_length_a 5.3991
_cell_length_b 5.3991
_cell_length_c 7.2500
_cell_angle_alpha 86.84
_cell_angle_beta 86.84
_cell_angle_gamma 83.00
_symmetry_space_group_name_H-M 'P 1'
_symmetry_Int_Tables_number 1
_symmetry_space_group_name_Hall 'P 1'
loop_
_atom_site_label
_atom_site_fract_x
_atom_site_fract_y
_atom_site_fract_z
_atom_site_occupancy
H1 0.3837 0.1414 0.1496 1
H2 0.5193 0.8535 0.1596 1
H3 0.8124 0.6205 0.3874 1
H4 0.1095 0.7503 0.2511 1
H5 0.6205 0.8124 0.8874 1
H6 0.7503 0.1095 0.7511 1
H7 0.8535 0.5193 0.6596 1
H8 0.1414 0.3837 0.6496 1
H9 0.4159 0.2337 0.8957 1
H10 0.5341 0.5210 0.4941 1
H11 0.5210 0.5341 0.9941 1
H12 0.2337 0.4159 0.3957 1
H13 0.9786 0.0428 0.0131 1
H14 0.8459 0.1539 0.2803 1
H15 0.1539 0.8459 0.7803 1
H16 0.0428 0.9786 0.5131 1
Pt1 0.5039 0.0050 0.4955 1
Pt2 0.0050 0.5039 0.9955 1
O1 0.4001 0.9743 0.2349 1
O2 0.0341 0.5908 0.2573 1
O3 0.5908 0.0341 0.7573 1
O4 0.9743 0.4001 0.7349 1
O5 0.3578 0.3431 0.0038 1
O6 0.6730 0.6485 0.4968 1
O7 0.6485 0.6730 0.9968 1
O8 0.3431 0.3578 0.5038 1
O9 0.8657 0.1866 0.0758 1
O10 0.8267 0.1371 0.4240 1
O11 0.1371 0.8267 0.9240 1
O12 0.1866 0.8657 0.5758 1

---

> Which formula does entry 12 have?

H8PtO6